DFT (PBE) results for a relaxed structure of Ac2PuTe2As2.

a b c (Å): 5.3140 5.3140 16.8441
angles (deg): 90.00 90.00 90.00
Last column: nearest neighbours and their distance in Å.
Space group I4/mmm (No. 139)
One atom of each set of equivalent atoms:
Ac: 0.0000 0.0000 0.1230 (multiplicity 4)  1 Te 3.30, 4 As 3.37
Pu: 0.0000 0.0000 0.5000 (multiplicity 2)  4 As 2.66
Te: 0.0000 0.0000 0.3190 (multiplicity 4)  1 Pu 3.05, 1 Ac 3.30
As: 0.0000 0.5000 0.0000 (multiplicity 4)  2 Pu 2.66

Results
The uncorrected formation energy is -1.156 eV per atom. The calculation puts the density of states at the Fermi level at 1.161 states/eV per atom. The value obtained for the electronic total energy is -6.603 eV/atom.